[1]
VASP calculation (PBE) on NaMn3Cl8 after structural relaxation.

Computed properties:
- N(E_F) (states/eV/cell) = 6.3
- formation energy from raw total energies (eV per atom) = -1.15

Cell lengths 7.447, 7.563, 7.598 Å; angles 118.08, 90.00, 119.50 degrees
Fractional positions:
Cl: 0.734 0.031 0.791
Cl: 0.297 0.031 0.791
Cl: 0.754 0.507 0.790
Cl: 0.266 0.969 0.209
Cl: 0.703 0.969 0.209
Cl: 0.246 0.493 0.210
Cl: 0.255 0.509 0.774
Cl: 0.745 0.491 0.226
Mn: 0.500 0.000 0.000
Mn: 0.500 0.500 0.000
Mn: 0.000 0.500 0.000
Na: 0.000 0.000 0.000

[2]
VASP calculation (PBE) on Be3PdAu after structural relaxation.

Computed properties:
- formation energy (eV per formula unit) = -1.4
- distance to the lowest polymorph of the same formula (kJ/mol of formula units) = 0
- N(E_F) (states/eV/cell) = 1.6

Cell lengths 3.748, 5.117, 6.007 Å; angles 90.00, 90.00, 90.00 degrees
Fractional positions:
Pd: 0.500 0.000 0.157
Pd: 0.000 0.500 0.843
Be: 0.000 0.286 0.217
Be: 0.500 0.500 0.077
Be: 0.500 0.214 0.783
Be: 0.000 0.714 0.217
Be: 0.000 0.000 0.923
Be: 0.500 0.786 0.783
Au: 0.000 0.000 0.540
Au: 0.500 0.500 0.460